# CdCuN2F

CdCuN2F after structural relaxation (PBE, Alexandria).

Results
Uncorrected formation energy (eV/atom): 0.68

abc: 3.7184 3.7184 4.4692
angles: 90.00 90.00 90.00
Fractional positions:
N (0.0000, 0.5000, 0.0000)
N (0.5000, 0.0000, 0.0000)
F (0.0000, 0.0000, 0.5000)
Cu (0.0000, 0.0000, 0.0000)
Cd (0.5000, 0.5000, 0.5000)